La6Pm2Ho3Mg | Alexandria | GGA-PBE | optimized geometry; DOS at the Fermi energy = 1.165 states/eV/atom; total magnetization = 0.000 μB/cell; formation energy = 0.012 eV per atom
1.0
-3.166 -5.305 1.295
6.083 0.518 1.600
-4.094 6.007 9.468
La Pm Ho Mg
6 2 3 1
Direct
0.916 0.586 0.748
0.753 0.753 0.252
0.084 0.414 0.252
0.586 0.916 0.748
0.247 0.247 0.748
0.414 0.084 0.252
0.333 0.667 0.000
0.667 0.333 0.000
0.167 0.833 0.500
0.833 0.167 0.500
0.500 0.500 0.500
0.000 0.000 0.000